[1]
# LaBe2Co

LaBe2Co after structural relaxation (PBE-GGA, the Alexandria database).

Output
Space-group type: P2/m
Volume, Å³ per cell: 69
ΔE to the lowest computed polymorph, eV per formula unit: 1.17
Density of states at the Fermi level, states/eV per atom: 0.767
ΔH_f (0 K), kJ/mol of formula units: 57.1

```
4
Lattice="3.888 0.000 0.000 0.000 4.091 -0.210 0.000 1.576 4.246" Properties=species:S:1:pos:R:3 pbc="T T T"
La 1.944 4.250 3.027
Be 0.000 2.401 1.339
Be 0.000 0.432 0.679
Co 1.944 1.417 1.009
```

[2]
# LaBe2Co

LaBe2Co after structural relaxation (PBE-GGA, the Alexandria database).

Output
Space-group type: I4_1/amd
Volume, Å³ per cell: 138
ΔE to the lowest computed polymorph, eV per formula unit: 0.94
Density of states at the Fermi level, states/eV per atom: 0.749
ΔH_f (0 K), kJ/mol of formula units: 35.3

```
8
Lattice="-1.428 -2.562 3.102 3.952 -1.511 0.571 2.598 3.382 6.928" Properties=species:S:1:pos:R:3 pbc="T T T"
Be 0.608 -0.304 2.967
Be 3.883 0.631 6.716
Be 3.169 -0.650 8.267
Be 2.584 -1.060 3.252
Co 3.906 -0.083 4.668
Co 1.262 -2.037 1.837
La 1.216 -0.609 5.933
La 0.000 0.000 0.000
```

[3]
# LaBe2Co

LaBe2Co after structural relaxation (PBE-GGA, the Alexandria database).

Output
Space-group type: C2/m
Volume, Å³ per cell: 66
ΔE to the lowest computed polymorph, eV per formula unit: 1.16
Density of states at the Fermi level, states/eV per atom: 0.576
ΔH_f (0 K), kJ/mol of formula units: 56.0

```
4
Lattice="-0.497 -4.720 -2.438 4.636 1.572 -2.122 -1.519 -0.207 4.009" Properties=species:S:1:pos:R:3 pbc="T T T"
Be 3.749 -2.851 -4.130
Be 2.460 -1.870 -2.710
Co 0.027 -3.250 -0.355
La 2.593 -0.104 -0.197
```

[4]
# LaBeCo4

LaBeCo4 after structural relaxation (PBE-GGA, the Alexandria database).

Output
Space-group type: F-43m
Volume, Å³ per cell: 85
Density of states at the Fermi level, states/eV per atom: 1.456
ΔH_f (0 K), kJ/mol of formula units: 93.4

```
6
Lattice="0.000 3.496 3.496 3.496 0.000 3.496 3.496 3.496 0.000" Properties=species:S:1:pos:R:3 pbc="T T T"
Co 4.382 4.382 4.382
Co 4.382 2.611 2.611
Co 2.611 4.382 2.611
Co 2.611 2.611 4.382
La 1.748 1.748 1.748
Be 0.000 0.000 0.000
```

[5]
# La2BeCo

La2BeCo after structural relaxation (PBE-GGA, the Alexandria database).

Output
Space-group type: P2/m
Volume, Å³ per cell: 89
Density of states at the Fermi level, states/eV per atom: 0.668
ΔH_f (0 K), kJ/mol of formula units: 55.1

```
4
Lattice="-3.282 1.209 0.774 -1.369 -3.211 -0.791 -0.533 -5.175 5.822" Properties=species:S:1:pos:R:3 pbc="T T T"
La -0.539 -5.152 5.761
La -0.945 -4.216 2.577
Co -3.068 -5.685 4.160
Be -2.117 -1.492 1.645
```

[6]
# LaBe2Co

LaBe2Co after structural relaxation (PBE-GGA, the Alexandria database).

Output
Space-group type: P4mm
Volume, Å³ per cell: 58
ΔE to the lowest computed polymorph, eV per formula unit: 1.48
Density of states at the Fermi level, states/eV per atom: 0.811
ΔH_f (0 K), kJ/mol of formula units: 86.9

```
4
Lattice="0.013 -2.910 0.559 2.914 0.114 0.523 -1.203 1.230 6.432" Properties=species:S:1:pos:R:3 pbc="T T T"
La 0.585 -0.499 5.238
Be 1.144 -1.071 2.249
Be -0.113 0.115 0.603
Co -0.494 0.505 2.641
```

[7]
# LaBe2Co2

LaBe2Co2 after structural relaxation (PBE-GGA, the Alexandria database).

Output
Space-group type: I4/mmm
Volume, Å³ per cell: 71
ΔE to the lowest computed polymorph, eV per formula unit: 0.00
Density of states at the Fermi level, states/eV per atom: 0.685
ΔH_f (0 K), kJ/mol of formula units: -20.6

```
5
Lattice="3.818 0.000 0.000 0.000 3.818 0.000 1.909 1.909 4.846" Properties=species:S:1:pos:R:3 pbc="T T T"
La 0.000 0.000 0.000
Be 3.818 1.909 2.423
Be 1.909 3.818 2.423
Co 1.909 1.909 1.251
Co 3.818 3.818 3.595
```

[8]
# La2BeCo2

La2BeCo2 after structural relaxation (PBE-GGA, the Alexandria database).

Output
Space-group type: P4/mbm
Volume, Å³ per cell: 193
Density of states at the Fermi level, states/eV per atom: 1.114
ΔH_f (0 K), kJ/mol of formula units: 48.1

```
10
Lattice="-0.321 6.682 -1.266 -4.657 0.708 4.915 3.031 0.671 2.775" Properties=species:S:1:pos:R:3 pbc="T T T"
Co -4.206 3.140 3.834
Co -0.772 4.249 -0.184
Co -3.182 6.301 1.952
Co -1.795 1.088 1.698
La -1.740 2.065 4.524
La -2.495 5.496 4.519
La 0.548 2.565 1.905
La -0.207 5.996 1.900
Be 0.000 0.000 0.000
Be -2.489 3.695 1.825
```

[9]
# LaBe2Co

LaBe2Co after structural relaxation (PBE-GGA, the Alexandria database).

Output
Space-group type: Cmmm
Volume, Å³ per cell: 62
ΔE to the lowest computed polymorph, eV per formula unit: 2.89
Density of states at the Fermi level, states/eV per atom: 0.287
ΔH_f (0 K), kJ/mol of formula units: 223.1

```
4
Lattice="5.925 0.010 0.029 -2.029 4.042 -0.010 1.868 0.944 2.601" Properties=species:S:1:pos:R:3 pbc="T T T"
La 1.948 2.026 0.009
Be 0.000 0.000 0.000
Be 3.897 0.477 1.315
Co -0.080 2.493 1.296
```

[10]
# LaBe2Co

LaBe2Co after structural relaxation (PBE-GGA, the Alexandria database).

Output
Space-group type: C2
Volume, Å³ per cell: 68
ΔE to the lowest computed polymorph, eV per formula unit: 1.53
Density of states at the Fermi level, states/eV per atom: 0.616
ΔH_f (0 K), kJ/mol of formula units: 92.4

```
4
Lattice="4.531 -0.159 -0.497 -0.138 4.531 -0.497 -2.534 -2.522 3.893" Properties=species:S:1:pos:R:3 pbc="T T T"
Be -0.265 2.125 1.450
Be 4.116 0.257 -0.497
La 2.083 -0.234 1.450
Co 2.652 1.728 -0.497
```

[11]
# LaBe2Co

LaBe2Co after structural relaxation (PBE-GGA, the Alexandria database).

Output
Space-group type: I4/mmm
Volume, Å³ per cell: 62
ΔE to the lowest computed polymorph, eV per formula unit: 2.25
Density of states at the Fermi level, states/eV per atom: 0.970
ΔH_f (0 K), kJ/mol of formula units: 161.4

```
4
Lattice="-3.477 0.642 -3.004 -3.699 -0.915 2.647 3.442 2.962 0.951" Properties=species:S:1:pos:R:3 pbc="T T T"
Be 0.000 0.000 0.000
Be -3.588 -0.137 -0.179
La -1.812 1.733 -1.116
Co -1.923 0.955 1.710
```

[12]
# LiLaBeCo2

LiLaBeCo2 after structural relaxation (PBE-GGA, the Alexandria database).

Output
Space-group type: P4/mmm
Volume, Å³ per cell: 74
Density of states at the Fermi level, states/eV per atom: 0.308
ΔH_f (0 K), kJ/mol of formula units: 36.4

```
5
Lattice="4.201 0.000 0.000 0.000 4.191 0.000 0.000 0.000 4.201" Properties=species:S:1:pos:R:3 pbc="T T T"
Be 0.000 0.000 0.000
Li 0.000 2.096 0.000
Co 2.101 0.000 0.000
Co 0.000 0.000 2.101
La 2.101 2.096 2.101
```

[13]
# LaMnBe2Co

LaMnBe2Co after structural relaxation (PBE-GGA, the Alexandria database).

Output
Space-group type: P4/mmm
Volume, Å³ per cell: 99
Density of states at the Fermi level, states/eV per atom: 1.674
ΔH_f (0 K), kJ/mol of formula units: 1130.8

```
5
Lattice="-3.055 0.820 3.497 -2.726 -3.104 -1.653 2.135 -3.277 2.634" Properties=species:S:1:pos:R:3 pbc="T T T"
Be 1.067 -1.638 1.317
Be -1.527 0.410 1.748
La 0.000 0.000 0.000
Co -1.823 -2.780 2.239
Mn -1.363 -1.552 -0.827
```

[14]
# La2BeCo3Ni12

La2BeCo3Ni12 after structural relaxation (PBE-GGA, the Alexandria database).

Output
Space-group type: R-3m
Volume, Å³ per cell: 257
Density of states at the Fermi level, states/eV per atom: 0.972
ΔH_f (0 K), kJ/mol of formula units: 367.5

```
18
Lattice="8.554 1.458 1.034 5.492 6.718 1.034 5.492 3.197 5.998" Properties=species:S:1:pos:R:3 pbc="T T T"
Co 2.746 1.598 2.999
Co 4.277 0.729 0.517
Co 2.746 3.359 0.517
Ni 9.191 3.971 4.278
Ni 14.988 8.724 3.937
Ni 4.549 4.772 1.134
Ni 6.396 1.599 1.134
Ni 11.545 5.341 3.788
Ni 7.992 6.031 4.278
Ni 10.346 7.401 3.788
Ni 10.346 6.022 5.733
Ni 9.191 5.350 2.333
Ni 13.141 9.773 6.932
Ni 14.988 6.600 6.932
Ni 4.549 2.648 4.129
La 6.620 3.854 2.733
La 12.916 7.518 5.333
Be 0.000 0.000 0.000
```

[15]
# LaBeCo2Pb

LaBeCo2Pb after structural relaxation (PBE-GGA, the Alexandria database).

Output
Space-group type: P4/mmm
Volume, Å³ per cell: 129
Density of states at the Fermi level, states/eV per atom: 0.994
ΔH_f (0 K), kJ/mol of formula units: 798.0

```
5
Lattice="-2.294 3.336 1.993 0.235 -3.131 5.510 3.882 2.067 1.009" Properties=species:S:1:pos:R:3 pbc="T T T"
Pb 0.117 -1.565 2.755
Be 0.912 1.136 4.256
Co -1.147 1.668 0.997
Co 1.941 1.033 0.504
La 0.000 0.000 0.000
```

[16]
# La2BeCoPt

La2BeCoPt after structural relaxation (PBE-GGA, the Alexandria database).

Output
Space-group type: P4/mmm
Volume, Å³ per cell: 112
Density of states at the Fermi level, states/eV per atom: 0.633
ΔH_f (0 K), kJ/mol of formula units: -33.1

```
5
Lattice="-3.139 -1.045 4.245 3.098 0.052 2.303 -0.680 5.279 0.797" Properties=species:S:1:pos:R:3 pbc="T T T"
Be 0.000 0.000 0.000
La -0.340 2.640 0.398
La -1.569 -0.523 2.123
Co 1.549 0.026 1.152
Pt -0.361 2.143 3.673
```

[17]
# SrLaBe2Co

SrLaBe2Co after structural relaxation (PBE-GGA, the Alexandria database).

Output
Space-group type: P4/mmm
Volume, Å³ per cell: 136
Density of states at the Fermi level, states/eV per atom: 1.554
ΔH_f (0 K), kJ/mol of formula units: 1079.0

```
5
Lattice="-0.819 -3.109 -3.613 0.589 -4.458 3.703 -4.742 0.155 0.941" Properties=species:S:1:pos:R:3 pbc="T T T"
Be -0.409 -1.555 -1.807
Be -2.371 0.078 0.471
Sr 0.000 0.000 0.000
La 0.295 -2.229 1.851
Co -2.486 -3.706 0.515
```

[18]
# La2BeCoTe

La2BeCoTe after structural relaxation (PBE-GGA, the Alexandria database).

Output
Space-group type: P4/mmm
E_form (uncorrected), eV per formula unit: -2.9
Volume, Å³ per cell: 121
Density of states at the Fermi level, states/eV per atom: 0.536

```
5
Lattice="5.294 0.000 0.000 0.000 5.294 0.000 0.000 0.000 4.310" Properties=species:S:1:pos:R:3 pbc="T T T"
Be 0.000 0.000 2.155
La 0.000 2.647 0.000
La 2.647 0.000 0.000
Te 2.647 2.647 2.155
Co 0.000 0.000 0.000
```

[19]
# Li2BeCo

Li2BeCo after structural relaxation (PBE-GGA, the Alexandria database).

Output
Space-group type: F-43m
Volume, Å³ per cell: 43
Density of states at the Fermi level, states/eV per atom: 0.521
ΔH_f (0 K), kJ/mol of formula units: 80.0

```
4
Lattice="-2.984 1.308 -2.181 -1.170 -3.691 -0.616 0.480 1.320 3.660" Properties=species:S:1:pos:R:3 pbc="T T T"
Be -2.077 -1.191 -1.398
Co -2.290 0.718 0.041
Li 0.000 0.000 0.000
Li -1.383 -1.781 0.823
```

[20]
# LiBeCo2

LiBeCo2 after structural relaxation (PBE-GGA, the Alexandria database).

Output
Space-group type: Pmm2
Volume, Å³ per cell: 42
Density of states at the Fermi level, states/eV per atom: 0.806
ΔH_f (0 K), kJ/mol of formula units: 35.5

```
4
Lattice="2.423 0.000 0.000 0.000 3.517 0.000 0.000 0.000 4.901" Properties=species:S:1:pos:R:3 pbc="T T T"
Be 1.211 1.759 3.774
Li 0.000 0.000 2.490
Co 0.000 0.000 4.889
Co 1.211 1.759 1.099
```

| no. | density (g cm⁻³) |
| --- | --- |
| 1 | 5.209 |
| 2 | 5.206 |
| 3 | 5.423 |
| 4 | 7.453 |
| 5 | 6.443 |
| 6 | 6.132 |
| 7 | 6.460 |
| 8 | 6.964 |
| 9 | 5.767 |
| 10 | 5.265 |
| 11 | 5.796 |
| 12 | 6.122 |
| 13 | 4.546 |
| 14 | 7.556 |
| 15 | 6.083 |
| 16 | 8.031 |
| 17 | 3.698 |
| 18 | 6.508 |
| 19 | 3.190 |
| 20 | 5.321 |